# 1
VASP calculation (PBE) on a relaxed La6Si2RhCl3 crystal.

Results
Fermi-level density of states (states/eV per cell): 16.31
Energy (eV per atom): -5.676
V (Å³/cell): 681.2
Density (Mg/m³): 5.357

Cell and atoms, written as CIF:
```
data_La6Si2RhCl3
_chemical_formula_sum 'La12 Si4 Rh2 Cl6'
_symmetry_space_group_name_H-M 'C 1 2/m 1'
_symmetry_Int_Tables_number 12
_cell_length_a 18.628
_cell_length_b 4.281
_cell_length_c 8.753
_cell_angle_alpha 90.00
_cell_angle_beta 102.57
_cell_angle_gamma 90.00
loop_
_symmetry_equiv_pos_as_xyz
'x,y,z'
'-x,-y,-z'
'-x,y,-z'
'x,-y,z'
'x+1/2,y+1/2,z'
'-x+1/2,-y+1/2,-z'
'-x+1/2,y+1/2,-z'
'x+1/2,-y+1/2,z'
loop_
_atom_site_label
_atom_site_type_symbol
_atom_site_fract_x
_atom_site_fract_y
_atom_site_fract_z
La1 La 0.002 0.000 0.235
La2 La 0.155 0.500 0.097
La3 La 0.171 0.500 0.577
Si1 Si 0.164 0.000 0.338
Rh1 Rh 0.000 0.500 0.000
Cl1 Cl 0.000 0.500 0.500
Cl2 Cl 0.174 0.000 0.840
```



# 2
VASP calculation (PBE) on a relaxed La4SiRhCl2 crystal.

Results
Fermi-level density of states (states/eV per cell): 7.35
Energy (eV per atom): -5.736
V (Å³/cell): 227.5
Density (Mg/m³): 5.528

Cell and atoms, written as CIF:
```
data_La4SiRhCl2
_chemical_formula_sum 'La4 Si1 Rh1 Cl2'
_symmetry_space_group_name_H-M 'P 1 2/m 1'
_symmetry_Int_Tables_number 10
_cell_length_a 7.477
_cell_length_b 4.212
_cell_length_c 7.584
_cell_angle_alpha 90.00
_cell_angle_beta 107.70
_cell_angle_gamma 90.00
loop_
_symmetry_equiv_pos_as_xyz
'x,y,z'
'-x,-y,-z'
'-x,y,-z'
'x,-y,z'
loop_
_atom_site_label
_atom_site_type_symbol
_atom_site_fract_x
_atom_site_fract_y
_atom_site_fract_z
La1 La 0.220 0.000 0.233
La2 La 0.223 0.500 0.750
Si1 Si 0.000 0.000 0.500
Rh1 Rh 0.000 0.500 0.000
Cl1 Cl 0.500 0.000 0.000
Cl2 Cl 0.500 0.500 0.500
```



# 3
VASP calculation (PBE) on a relaxed LaSmRhCl crystal.

Results
Fermi-level density of states (states/eV per cell): 2.76
Energy (eV per atom): -5.922
V (Å³/cell): 333.4
Density (Mg/m³): 6.389

Cell and atoms, written as CIF:
```
data_LaSmRhCl
_chemical_formula_sum 'La3 Sm3 Rh3 Cl3'
_symmetry_space_group_name_H-M 'R 3 m'
_symmetry_Int_Tables_number 160
_symmetry_space_group_name_Hall 'R 3 -2"'
_cell_length_a 4.0672
_cell_length_b 4.0672
_cell_length_c 23.2737
_cell_angle_alpha 90.00
_cell_angle_beta 90.00
_cell_angle_gamma 120.00
loop_
_atom_site_label
_atom_site_type_symbol
_atom_site_fract_x
_atom_site_fract_y
_atom_site_fract_z
La1 La 0.0000 0.0000 0.0000
Sm1 Sm 0.0000 0.0000 0.8008
Rh1 Rh 0.0000 0.0000 0.4005
Cl1 Cl 0.0000 0.0000 0.2275
```



# 4
VASP calculation (PBE) on a relaxed La8TcRh3Cl4 crystal.

Results
Fermi-level density of states (states/eV per cell): 16.82
Energy (eV per atom): -6.108
V (Å³/cell): 1370.0
Density (Mg/m³): 6.035

Cell and atoms, written as CIF:
```
data_La8TcRh3Cl4
_chemical_formula_sum 'La24 Tc3 Rh9 Cl12'
_symmetry_space_group_name_H-M 'R -3 m'
_symmetry_Int_Tables_number 166
_symmetry_space_group_name_Hall '-R 3 2"'
_cell_length_a 8.2798
_cell_length_b 8.2798
_cell_length_c 23.0762
_cell_angle_alpha 90.00
_cell_angle_beta 90.00
_cell_angle_gamma 120.00
loop_
_atom_site_label
_atom_site_type_symbol
_atom_site_fract_x
_atom_site_fract_y
_atom_site_fract_z
La1 La 0.0000 0.0000 0.2337
La2 La 0.0078 0.5039 0.2360
Tc1 Tc 0.0000 0.0000 0.5000
Rh1 Rh 0.0000 0.5000 0.5000
Cl1 Cl 0.0000 0.0000 0.0000
Cl2 Cl 0.0000 0.5000 0.0000
```



# 5
VASP calculation (PBE) on a relaxed La6Tc2RhCl3 crystal.

Results
Fermi-level density of states (states/eV per cell): 10.44
Energy (eV per atom): -6.179
V (Å³/cell): 661.0
Density (Mg/m³): 6.223

Cell and atoms, written as CIF:
```
data_La6Tc2RhCl3
_chemical_formula_sum 'La12 Tc4 Rh2 Cl6'
_symmetry_space_group_name_H-M 'C 1 2/m 1'
_symmetry_Int_Tables_number 12
_cell_length_a 19.292
_cell_length_b 4.278
_cell_length_c 8.785
_cell_angle_alpha 90.00
_cell_angle_beta 114.26
_cell_angle_gamma 90.00
loop_
_symmetry_equiv_pos_as_xyz
'x,y,z'
'-x,-y,-z'
'-x,y,-z'
'x,-y,z'
'x+1/2,y+1/2,z'
'-x+1/2,-y+1/2,-z'
'-x+1/2,y+1/2,-z'
'x+1/2,-y+1/2,z'
loop_
_atom_site_label
_atom_site_type_symbol
_atom_site_fract_x
_atom_site_fract_y
_atom_site_fract_z
La1 La 0.001 0.000 0.222
La2 La 0.167 0.500 0.235
La3 La 0.177 0.500 0.828
Tc1 Tc 0.140 0.000 0.027
Rh1 Rh 0.000 0.500 0.000
Cl1 Cl 0.000 0.500 0.500
Cl2 Cl 0.165 0.000 0.532
```



# 6
VASP calculation (PBE) on a relaxed La3TeRhCl crystal.

Results
Fermi-level density of states (states/eV per cell): 7.47
Energy (eV per atom): -5.736
V (Å³/cell): 366.1
Density (Mg/m³): 6.194

Cell and atoms, written as CIF:
```
data_La3TeRhCl
_chemical_formula_sum 'La6 Te2 Rh2 Cl2'
_symmetry_space_group_name_H-M 'P 1 21/m 1'
_symmetry_Int_Tables_number 11
_cell_length_a 8.939
_cell_length_b 4.310
_cell_length_c 9.753
_cell_angle_alpha 90.00
_cell_angle_beta 103.04
_cell_angle_gamma 90.00
loop_
_symmetry_equiv_pos_as_xyz
'x,y,z'
'-x,-y,-z'
'-x,y+1/2,-z'
'x,-y+1/2,z'
loop_
_atom_site_label
_atom_site_type_symbol
_atom_site_fract_x
_atom_site_fract_y
_atom_site_fract_z
La1 La 0.058 0.250 0.341
La2 La 0.229 0.250 0.977
La3 La 0.363 0.750 0.618
Te1 Te 0.326 0.750 0.265
Rh1 Rh 0.156 0.250 0.646
Cl1 Cl 0.407 0.750 0.909
```



# 7
VASP calculation (PBE) on a relaxed LaThRhCl crystal.

Results
Fermi-level density of states (states/eV per cell): 11.31
Energy (eV per atom): -6.514
V (Å³/cell): 344.8
Density (Mg/m³): 7.358

Cell and atoms, written as CIF:
```
data_LaThRhCl
_chemical_formula_sum 'La3 Th3 Rh3 Cl3'
_symmetry_space_group_name_H-M 'R 3 m'
_symmetry_Int_Tables_number 160
_symmetry_space_group_name_Hall 'R 3 -2"'
_cell_length_a 4.1329
_cell_length_b 4.1329
_cell_length_c 23.3067
_cell_angle_alpha 90.00
_cell_angle_beta 90.00
_cell_angle_gamma 120.00
loop_
_atom_site_label
_atom_site_type_symbol
_atom_site_fract_x
_atom_site_fract_y
_atom_site_fract_z
La1 La 0.0000 0.0000 0.0000
Th1 Th 0.0000 0.0000 0.8003
Rh1 Rh 0.0000 0.0000 0.4063
Cl1 Cl 0.0000 0.0000 0.2340
```



# 8
VASP calculation (PBE) on a relaxed La3TlRhCl crystal.

Results
Fermi-level density of states (states/eV per cell): 8.73
Energy (eV per atom): -5.239
V (Å³/cell): 353.0
Density (Mg/m³): 7.145

Cell and atoms, written as CIF:
```
data_La3TlRhCl
_chemical_formula_sum 'La6 Tl2 Rh2 Cl2'
_symmetry_space_group_name_H-M 'P 1 21/m 1'
_symmetry_Int_Tables_number 11
_cell_length_a 7.502
_cell_length_b 5.104
_cell_length_c 9.419
_cell_angle_alpha 90.00
_cell_angle_beta 101.81
_cell_angle_gamma 90.00
loop_
_symmetry_equiv_pos_as_xyz
'x,y,z'
'-x,-y,-z'
'-x,y+1/2,-z'
'x,-y+1/2,z'
loop_
_atom_site_label
_atom_site_type_symbol
_atom_site_fract_x
_atom_site_fract_y
_atom_site_fract_z
La1 La 0.050 0.250 0.364
La2 La 0.216 0.250 0.944
La3 La 0.421 0.750 0.610
Tl1 Tl 0.239 0.750 0.234
Rh1 Rh 0.191 0.250 0.644
Cl1 Cl 0.388 0.750 0.911
```



# 9
VASP calculation (PBE) on a relaxed LaYRhCl crystal.

Results
Fermi-level density of states (states/eV per cell): 2.31
Energy (eV per atom): -6.347
V (Å³/cell): 325.3
Density (Mg/m³): 5.607

Cell and atoms, written as CIF:
```
data_LaYRhCl
_chemical_formula_sum 'La3 Y3 Rh3 Cl3'
_symmetry_space_group_name_H-M 'R 3 m'
_symmetry_Int_Tables_number 160
_symmetry_space_group_name_Hall 'R 3 -2"'
_cell_length_a 4.0338
_cell_length_b 4.0338
_cell_length_c 23.0851
_cell_angle_alpha 90.00
_cell_angle_beta 90.00
_cell_angle_gamma 120.00
loop_
_atom_site_label
_atom_site_type_symbol
_atom_site_fract_x
_atom_site_fract_y
_atom_site_fract_z
La1 La 0.0000 0.0000 0.0000
Y1 Y 0.0000 0.0000 0.8004
Rh1 Rh 0.0000 0.0000 0.4010
Cl1 Cl 0.0000 0.0000 0.2248
```



# 10
VASP calculation (PBE) on a relaxed LaZnRhCl2 crystal.

Results
Fermi-level density of states (states/eV per cell): 2.23
Energy (eV per atom): -4.004
V (Å³/cell): 159.6
Density (Mg/m³): 3.934

Cell and atoms, written as CIF:
```
data_LaZnRhCl2
_chemical_formula_sum 'La1 Zn1 Rh1 Cl2'
_symmetry_space_group_name_H-M 'P 4/m m m'
_symmetry_Int_Tables_number 123
_symmetry_space_group_name_Hall '-P 4 2'
_cell_length_a 5.608
_cell_length_b 5.608
_cell_length_c 5.074
_cell_angle_alpha 90.00
_cell_angle_beta 90.00
_cell_angle_gamma 90.00
loop_
_atom_site_label
_atom_site_type_symbol
_atom_site_fract_x
_atom_site_fract_y
_atom_site_fract_z
La1 La 0.000 0.000 0.000
Zn1 Zn 0.500 0.500 0.500
Rh1 Rh 0.000 0.000 0.500
Cl1 Cl 0.000 0.500 0.000
```



# 11
VASP calculation (PBE) on a relaxed LaRuCl2 crystal.

Results
Distance to the lowest polymorph of the same formula (eV/f.u.): 2.46
Fermi-level density of states (states/eV per cell): 3.67
Energy (eV per atom): -4.806
V (Å³/cell): 86.1
Density (Mg/m³): 5.997

Cell and atoms, written as CIF:
```
data_LaRuCl2
_chemical_formula_sum 'La1 Ru1 Cl2'
_symmetry_space_group_name_H-M 'P m m m'
_symmetry_Int_Tables_number 47
_cell_length_a 3.517
_cell_length_b 3.965
_cell_length_c 6.174
_cell_angle_alpha 90.00
_cell_angle_beta 90.00
_cell_angle_gamma 90.00
loop_
_symmetry_equiv_pos_as_xyz
'x,y,z'
'-x,-y,-z'
'-x,-y,z'
'x,y,-z'
'x,-y,-z'
'-x,y,z'
'-x,y,-z'
'x,-y,z'
loop_
_atom_site_label
_atom_site_type_symbol
_atom_site_fract_x
_atom_site_fract_y
_atom_site_fract_z
La1 La 0.000 0.000 0.000
Ru1 Ru 0.000 0.000 0.500
Cl1 Cl 0.500 0.500 0.244
```



# 12
VASP calculation (PBE) on a relaxed LaRuCl2 crystal.

Results
Distance to the lowest polymorph of the same formula (eV/f.u.): 1.10
Fermi-level density of states (states/eV per cell): 4.71
Energy (eV per atom): -5.147
V (Å³/cell): 209.4
Density (Mg/m³): 4.930

Cell and atoms, written as CIF:
```
data_LaRuCl2
_chemical_formula_sum 'La2 Ru2 Cl4'
_symmetry_space_group_name_H-M 'C m m 2'
_symmetry_Int_Tables_number 35
_cell_length_a 4.402
_cell_length_b 5.812
_cell_length_c 8.186
_cell_angle_alpha 90.00
_cell_angle_beta 90.00
_cell_angle_gamma 90.00
loop_
_symmetry_equiv_pos_as_xyz
'x,y,z'
'-x,-y,z'
'-x,y,z'
'x,-y,z'
'x+1/2,y+1/2,z'
'-x+1/2,-y+1/2,z'
'-x+1/2,y+1/2,z'
'x+1/2,-y+1/2,z'
loop_
_atom_site_label
_atom_site_type_symbol
_atom_site_fract_x
_atom_site_fract_y
_atom_site_fract_z
La1 La 0.000 0.000 0.000
Ru1 Ru 0.000 0.500 0.764
Cl1 Cl 0.000 0.000 0.649
Cl2 Cl 0.000 0.500 0.233
```